1.
The following is a DFT calculation (PBE-GGA) of an optimized crystal structure of NpPaOsPd.

As for the calculated formation energy: -119 meV per atom. The calculation puts the total energy at -9.8339 eV per atom.

It has space group F-43m (No. 216), with a = 6.9088 Å, b = 6.9088 Å, c = 6.9088 Å, α = 90.00°, β = 90.00° and γ = 90.00°. The asymmetric unit holds Np at (0.0000, 0.0000, 0.0000), Pa at (0.0000, 0.0000, 0.5000), Os at (0.2500, 0.2500, 0.2500) and Pd at (0.2500, 0.2500, 0.7500).

---

2.
The following is a DFT calculation (PBE-GGA) of an optimized crystal structure of BaMgSi2.

The calculation puts the total energy at -3.8173 eV per atom. For the formation energy from raw total energies, the calculation gives -0.226 eV/atom.

It has space group C2/m (No. 12), with a = 8.8583 Å, b = 3.9504 Å, c = 6.3386 Å, α = 90.00°, β = 108.48° and γ = 90.00°. The asymmetric unit holds Ba at (0.0000, 0.0000, 0.0000), Mg at (0.0000, 0.5000, 0.5000) and Si at (0.2404, 0.0000, 0.6214).

---

3.
The following is a DFT calculation (PBE-GGA) of an optimized crystal structure of CeYCd4.

As for the calculated formation energy: -287 meV per atom. The calculation puts the total energy at -2.9631 eV per atom.

It has space group Pmmm (No. 47), with a = 3.3681 Å, b = 5.0497 Å, c = 8.7507 Å, α = 90.00°, β = 90.00° and γ = 90.00°. The asymmetric unit holds Ce at (0.0000, 0.0000, 0.0000), Y at (0.0000, 0.5000, 0.5000), Cd at (0.5000, 0.0000, 0.3369) and Cd at (0.5000, 0.5000, 0.1707).

---

4.
The following is a DFT calculation (PBE-GGA) of an optimized crystal structure of Sr3NO.

The calculation puts the total energy at -4.2663 eV per atom. For the formation energy from raw total energies, the calculation gives -0.600 eV/atom.

It has space group Pm-3m (No. 221), with a = 4.9503 Å, b = 4.9503 Å, c = 4.9503 Å, α = 90.00°, β = 90.00° and γ = 90.00°. The asymmetric unit holds Sr at (0.0000, 0.0000, 0.5000), N at (0.5000, 0.5000, 0.5000) and O at (0.0000, 0.0000, 0.0000).

---

5.
The following is a DFT calculation (PBE-GGA) of an optimized crystal structure of TlVMoC2.

As for the calculated formation energy: 1943 meV per atom. The calculation puts the total energy at -6.2099 eV per atom.

It has space group P4/mmm (No. 123), with a = 4.0328 Å, b = 4.0328 Å, c = 5.4719 Å, α = 90.00°, β = 90.00° and γ = 90.00°. The asymmetric unit holds Tl at (0.0000, 0.0000, 0.0000), V at (0.5000, 0.5000, 0.0000), Mo at (0.0000, 0.0000, 0.5000) and C at (0.0000, 0.5000, 0.5000).

---

6.
The following is a DFT calculation (PBE-GGA) of an optimized crystal structure of Pr2DyHo4Tm2.

As for the calculated formation energy: 88 meV per atom. The calculation puts the total energy at -4.5136 eV per atom.

It has space group P-1 (No. 2), with a = 5.9857 Å, b = 6.5821 Å, c = 8.5411 Å, α = 80.06°, β = 70.67° and γ = 65.79°. The asymmetric unit holds Pr at (0.2285, 0.3247, 0.3415), Dy at (0.5000, 0.0000, 0.0000), Ho at (0.1144, 0.1251, 0.7636), Ho at (0.2437, 0.5729, 0.8864) and Tm at (0.3253, 0.7681, 0.4445).